(1)
# ZrInRe, relaxed, DFT PBE
# **Polymorph energy (0 for the lowest one)**: 171 meV per atom
# **ΔE_f**: 27 meV per atom
# **Crystal system**: orthorhombic
# **Calculated total energy**: -0.579 Ry/atom
data_ZrInRe
_space_group_name_H-M_alt 'C m c m'
_space_group_IT_number 63
_space_group_name_Hall '-C 2c 2'
_cell_length_a 4.595
_cell_length_b 11.105
_cell_length_c 4.610
_cell_angle_alpha 90.00
_cell_angle_beta 90.00
_cell_angle_gamma 90.00
loop_
_atom_site_label
_atom_site_fract_x
_atom_site_fract_y
_atom_site_fract_z
Zr1 0.000 0.105 0.250
In1 0.000 0.401 0.250
Re1 0.000 0.243 0.750

***

(2)
# CsBaFe2I8, relaxed, DFT PBE
# **Raw formation energy**: -0.79 eV/atom
# **Crystal system**: trigonal
# **Calculated total energy**: -0.255 Ry/atom
data_CsBaFe2I8
_space_group_name_H-M_alt 'P -3'
_space_group_IT_number 147
_cell_length_a 7.6411
_cell_length_b 7.6411
_cell_length_c 11.6079
_cell_angle_alpha 90.00
_cell_angle_beta 90.00
_cell_angle_gamma 120.00
loop_
_space_group_symop_operation_xyz
'x,y,z'
'-x,-y,-z'
'-y,x-y,z'
'y,-x+y,-z'
'-x+y,-x,z'
'x-y,x,-z'
loop_
_atom_site_label
_atom_site_fract_x
_atom_site_fract_y
_atom_site_fract_z
Cs1 0.0000 0.0000 0.0000
Ba1 0.0000 0.0000 0.5000
Fe1 0.3333 0.6667 0.7633
I1 0.0021 0.3504 0.6933
I2 0.3333 0.6667 0.9831

***

(3)
# CrSi2Ru, relaxed, DFT PBE
# **Raw formation energy**: 0.23 eV/atom
# **Crystal system**: tetragonal
# **Calculated total energy**: -0.530 Ry/atom
data_CrSi2Ru
_space_group_name_H-M_alt 'I -4 2 d'
_space_group_IT_number 122
_space_group_name_Hall 'I -4 2bw'
_cell_length_a 6.492
_cell_length_b 6.492
_cell_length_c 5.566
_cell_angle_alpha 90.00
_cell_angle_beta 90.00
_cell_angle_gamma 90.00
loop_
_atom_site_label
_atom_site_fract_x
_atom_site_fract_y
_atom_site_fract_z
Cr1 0.000 0.000 0.000
Si1 0.241 0.250 0.625
Ru1 0.000 0.000 0.500

***

(4)
# PrPuZnPd, relaxed, DFT PBE
# **ΔE_f**: -307 meV per atom
# **Crystal system**: cubic
# **Calculated total energy**: -0.493 Ry/atom
data_PrPuZnPd
_space_group_name_H-M_alt 'F -4 3 m'
_space_group_IT_number 216
_space_group_name_Hall 'F -4 2 3'
_cell_length_a 7.250
_cell_length_b 7.250
_cell_length_c 7.250
_cell_angle_alpha 90.00
_cell_angle_beta 90.00
_cell_angle_gamma 90.00
loop_
_atom_site_label
_atom_site_fract_x
_atom_site_fract_y
_atom_site_fract_z
Pr1 0.000 0.000 0.000
Pu1 0.000 0.000 0.500
Zn1 0.250 0.250 0.250
Pd1 0.250 0.250 0.750

***

(5)
# Pm2Sm5Dy12, relaxed, DFT PBE
# **Polymorph energy (0 for the lowest one)**: 66 meV per atom
# **ΔE_f**: 128 meV per atom
# **Crystal system**: monoclinic
# **Calculated total energy**: -0.332 Ry/atom
data_Pm2Sm5Dy12
_space_group_name_H-M_alt 'C 1 2/m 1'
_space_group_IT_number 12
_cell_length_a 15.630
_cell_length_b 9.301
_cell_length_c 8.660
_cell_angle_alpha 90.00
_cell_angle_beta 92.20
_cell_angle_gamma 90.00
loop_
_space_group_symop_operation_xyz
'x,y,z'
'-x,-y,-z'
'-x,y,-z'
'x,-y,z'
'x+1/2,y+1/2,z'
'-x+1/2,-y+1/2,-z'
'-x+1/2,y+1/2,-z'
'x+1/2,-y+1/2,z'
loop_
_atom_site_label
_atom_site_fract_x
_atom_site_fract_y
_atom_site_fract_z
Pm1 0.000 0.174 0.000
Sm1 0.000 0.500 0.500
Sm2 0.207 0.000 0.021
Sm3 0.230 0.500 0.572
Dy1 0.057 0.000 0.337
Dy2 0.076 0.500 0.875
Dy3 0.130 0.191 0.666
Dy4 0.149 0.321 0.241

***

(6)
# AgSI2, relaxed, DFT PBE
# **Polymorph energy (0 for the lowest one)**: 273 meV per atom
# **Raw formation energy**: 0.25 eV/atom
# **Crystal system**: trigonal
# **Calculated total energy**: -0.167 Ry/atom
data_AgSI2
_space_group_name_H-M_alt 'R -3 m'
_space_group_IT_number 166
_space_group_name_Hall '-R 3 2"'
_cell_length_a 4.3545
_cell_length_b 4.3545
_cell_length_c 25.3751
_cell_angle_alpha 90.00
_cell_angle_beta 90.00
_cell_angle_gamma 120.00
loop_
_atom_site_label
_atom_site_fract_x
_atom_site_fract_y
_atom_site_fract_z
Ag1 0.0000 0.0000 0.0000
S1 0.0000 0.0000 0.5000
I1 0.0000 0.0000 0.3980

***

(7)
# Cs2BaNa16, relaxed, DFT PBE
# **ΔE_f**: 20 meV per atom
# **Crystal system**: trigonal
# **Calculated total energy**: -0.094 Ry/atom
data_Cs2BaNa16
_space_group_name_H-M_alt 'R 3 m'
_space_group_IT_number 160
_space_group_name_Hall 'R 3 -2"'
_cell_length_a 12.6890
_cell_length_b 12.6890
_cell_length_c 18.7419
_cell_angle_alpha 90.00
_cell_angle_beta 90.00
_cell_angle_gamma 120.00
loop_
_atom_site_label
_atom_site_fract_x
_atom_site_fract_y
_atom_site_fract_z
Cs1 0.0000 0.0000 0.0000
Cs2 0.0000 0.0000 0.3067
Ba1 0.0000 0.0000 0.7441
Na1 0.0000 0.0000 0.5415
Na2 0.9997 0.2967 0.6504
Na3 0.0107 0.5053 0.1527
Na4 0.1682 0.3364 0.8300
Na5 0.1705 0.3410 0.1380

***

(8)
# TbPtAu4, relaxed, DFT PBE
# **ΔE_f**: -406 meV per atom
# **Crystal system**: cubic
# **Calculated total energy**: -0.321 Ry/atom
data_TbPtAu4
_space_group_name_H-M_alt 'F -4 3 m'
_space_group_IT_number 216
_space_group_name_Hall 'F -4 2 3'
_cell_length_a 7.763
_cell_length_b 7.763
_cell_length_c 7.763
_cell_angle_alpha 90.00
_cell_angle_beta 90.00
_cell_angle_gamma 90.00
loop_
_atom_site_label
_atom_site_fract_x
_atom_site_fract_y
_atom_site_fract_z
Tb1 0.000 0.000 0.000
Pt1 0.250 0.250 0.750
Au1 0.125 0.125 0.375